Entry 1:
This record from Alexandria describes crystalline LiAg2Pt at its relaxed geometry. The functional is PBE.

The structure in CIF format:
```
data_LiAg2Pt
_cell_length_a 4.305
_cell_length_b 2.774
_cell_length_c 5.573
_cell_angle_alpha 75.41
_cell_angle_beta 90.00
_cell_angle_gamma 90.00
_space_group_name_H-M_alt 'P 1'
_space_group_IT_number 1
_space_group_name_Hall 'P 1'
loop_
_atom_site_label
_atom_site_type_symbol
_atom_site_fract_x
_atom_site_fract_y
_atom_site_fract_z
Pt1 Pt 0.500 0.703 0.721
Li1 Li 0.000 0.344 0.525
Ag1 Ag 0.000 0.044 0.000
Ag2 Ag 0.500 0.409 0.253
```

Calculated values
- M_tot: 0.00 μB/f.u.
- Energy: -3.60 eV/atom
- Formation energy from the elements: -0.187 eV/atom
- SG: Pm, No. 6

=====

Entry 2:
This record from Alexandria describes crystalline LiAg2Pt at its relaxed geometry. The functional is PBE.

The structure in CIF format:
```
data_LiAg2Pt
_cell_length_a 4.883
_cell_length_b 4.883
_cell_length_c 4.883
_cell_angle_alpha 130.89
_cell_angle_beta 130.89
_cell_angle_gamma 71.98
_space_group_name_H-M_alt 'P 1'
_space_group_IT_number 1
_space_group_name_Hall 'P 1'
loop_
_atom_site_label
_atom_site_type_symbol
_atom_site_fract_x
_atom_site_fract_y
_atom_site_fract_z
Ag1 Ag 0.000 0.000 0.000
Pt1 Pt 0.750 0.250 0.500
Li1 Li 0.250 0.750 0.500
Ag2 Ag 0.500 0.500 0.000
```

Calculated values
- M_tot: 0.00 μB/f.u.
- Energy: -3.60 eV/atom
- Formation energy from the elements: -0.183 eV/atom
- SG: I4/mmm, No. 139

=====

Entry 3:
This record from Alexandria describes crystalline Li3Ag2Pt at its relaxed geometry. The functional is PBE.

The structure in CIF format:
```
data_Li3Ag2Pt
_cell_length_a 5.126
_cell_length_b 5.126
_cell_length_c 9.025
_cell_angle_alpha 113.91
_cell_angle_beta 113.91
_cell_angle_gamma 64.73
_space_group_name_H-M_alt 'P 1'
_space_group_IT_number 1
_space_group_name_Hall 'P 1'
loop_
_atom_site_label
_atom_site_type_symbol
_atom_site_fract_x
_atom_site_fract_y
_atom_site_fract_z
Ag1 Ag 0.249 0.751 0.000
Li1 Li 0.850 0.850 0.176
Pt1 Pt 0.343 0.343 0.686
Ag2 Ag 0.250 0.750 0.500
Li2 Li 0.150 0.150 0.824
Ag3 Ag 0.751 0.249 0.000
Li3 Li 0.326 0.326 0.176
Li4 Li 0.674 0.674 0.824
Li5 Li 0.181 0.181 0.361
Pt2 Pt 0.657 0.657 0.314
Li6 Li 0.819 0.819 0.639
Ag4 Ag 0.750 0.250 0.500
```

Calculated values
- M_tot: 0.00 μB/f.u.
- Polymorph energy (0 for the lowest one): 0.078 eV/atom
- Energy: -3.17 eV/atom
- Formation energy from the elements: -0.258 eV/atom
- SG: Fmmm, No. 69

=====

Entry 4:
This record from Alexandria describes crystalline Li2AgPt at its relaxed geometry. The functional is PBE.

The structure in CIF format:
```
data_Li2AgPt
_cell_length_a 2.828
_cell_length_b 2.828
_cell_length_c 7.360
_cell_angle_alpha 90.00
_cell_angle_beta 90.00
_cell_angle_gamma 90.00
_space_group_name_H-M_alt 'P 1'
_space_group_IT_number 1
_space_group_name_Hall 'P 1'
loop_
_atom_site_label
_atom_site_type_symbol
_atom_site_fract_x
_atom_site_fract_y
_atom_site_fract_z
Li1 Li 0.000 0.000 0.021
Li2 Li 0.000 0.000 0.479
Pt1 Pt 0.500 0.500 0.250
Ag1 Ag 0.500 0.500 0.750
```

Calculated values
- M_tot: 0.00 μB/f.u.
- Energy: -3.58 eV/atom
- Formation energy from the elements: -0.403 eV/atom
- SG: P4/mmm, No. 123

=====

Q: Which value of energy does entry 4 give?
A: -3.58 eV/atom

=====

Q: Among the records above, which one has the lowest formation energy from the elements?
A: Li2AgPt